First-principles (PBE with a Hubbard U) data for a relaxed structure of Li4WO6, as listed in the Alexandria database.

Output
Raw total energy = -63.60 eV per cell
Spin magnetization = 2.015 μB/f.u.
Calculated density = 4.4 g/cm3

Unit cell a=5.186 b=5.186 c=5.355 alpha=75.86 beta=75.86 gamma=115.46
Site moments in Bohr magnetons follow the coordinates.
Fractional coordinates of all 11 atoms:
Li 0.819 0.181 0.500  0.00
Li 0.345 0.655 0.000  0.00
Li 0.655 0.345 0.000  0.00
Li 0.181 0.819 0.500  0.00
W 0.000 0.000 0.000  -0.17
O 0.390 0.066 0.761  0.34
O 0.934 0.610 0.239  0.34
O 0.066 0.390 0.761  0.34
O 0.610 0.934 0.239  0.34
O 0.790 0.790 0.792  0.24
O 0.210 0.210 0.208  0.24